VASP calculation (PBE) on a relaxed FeSnBr2 crystal.

Calculated values
Uncorrected formation energy   0.350 eV/atom
Space-group type   No. 225
D(E_F)   3.04 states/eV/cell
Offset from the most stable computed form   503 meV/atom
Volume   91.83 Å³/cell

Geometry as CIF:
```
data_FeSnBr2
_space_group_name_H-M_alt 'P 1'
_space_group_IT_number 1
_cell_length_a 5.0641
_cell_length_b 5.0641
_cell_length_c 5.0641
_cell_angle_alpha 60.00
_cell_angle_beta 60.00
_cell_angle_gamma 60.00
loop_
_space_group_symop_operation_xyz
'x,y,z'
loop_
_atom_site_label
_atom_site_type_symbol
_atom_site_fract_x
_atom_site_fract_y
_atom_site_fract_z
Fe1 Fe 0.0000 0.0000 0.0000
Sn1 Sn 0.5000 0.5000 0.5000
Br1 Br 0.2500 0.2500 0.2500
Br2 Br 0.7500 0.7500 0.7500
```



VASP calculation (PBE) on a relaxed Ho3AlGa12 crystal.

Calculated values
DFT formation energy   -370 meV per atom
Space-group type   No. 123
D(E_F)   5.96 states/eV/cell
Volume   304.43 Å³/cell

Geometry as CIF:
```
data_Ho3AlGa12
_space_group_name_H-M_alt 'P 1'
_space_group_IT_number 1
_cell_length_a 4.2270
_cell_length_b 4.2270
_cell_length_c 17.0382
_cell_angle_alpha 90.00
_cell_angle_beta 90.00
_cell_angle_gamma 90.00
loop_
_space_group_symop_operation_xyz
'x,y,z'
loop_
_atom_site_label
_atom_site_type_symbol
_atom_site_fract_x
_atom_site_fract_y
_atom_site_fract_z
Ho1 Ho 0.0000 0.0000 0.0000
Ho2 Ho 0.0000 0.0000 0.2529
Ho3 Ho 0.0000 0.0000 0.7471
Al1 Al 0.0000 0.0000 0.5000
Ga1 Ga 0.0000 0.5000 0.1265
Ga2 Ga 0.0000 0.5000 0.3842
Ga3 Ga 0.0000 0.5000 0.6158
Ga4 Ga 0.0000 0.5000 0.8735
Ga5 Ga 0.5000 0.0000 0.1265
Ga6 Ga 0.5000 0.0000 0.3842
Ga7 Ga 0.5000 0.0000 0.6158
Ga8 Ga 0.5000 0.0000 0.8735
Ga9 Ga 0.5000 0.5000 0.0000
Ga10 Ga 0.5000 0.5000 0.2464
Ga11 Ga 0.5000 0.5000 0.5000
Ga12 Ga 0.5000 0.5000 0.7536
```



VASP calculation (PBE) on a relaxed SrCdTe3 crystal.

Calculated values
Uncorrected formation energy   0.180 eV/atom
Space-group type   No. 221
D(E_F)   7.99 states/eV/cell
Offset from the most stable computed form   538 meV/atom
Volume   244.71 Å³/cell

Geometry as CIF:
```
data_SrCdTe3
_space_group_name_H-M_alt 'P 1'
_space_group_IT_number 1
_cell_length_a 6.2549
_cell_length_b 6.2549
_cell_length_c 6.2549
_cell_angle_alpha 90.00
_cell_angle_beta 90.00
_cell_angle_gamma 90.00
loop_
_space_group_symop_operation_xyz
'x,y,z'
loop_
_atom_site_label
_atom_site_type_symbol
_atom_site_fract_x
_atom_site_fract_y
_atom_site_fract_z
Sr1 Sr 0.0000 0.0000 0.0000
Cd1 Cd 0.5000 0.5000 0.5000
Te1 Te 0.0000 0.0000 0.5000
Te2 Te 0.0000 0.5000 0.0000
Te3 Te 0.5000 0.0000 0.0000
```



VASP calculation (PBE) on a relaxed CoReNi crystal.

Calculated values
DFT formation energy   -23 meV per atom
Space-group type   No. 44
D(E_F)   2.58 states/eV/cell
Offset from the most stable computed form   32 meV/atom
Volume   36.05 Å³/cell

Geometry as CIF:
```
data_CoReNi
_space_group_name_H-M_alt 'P 1'
_space_group_IT_number 1
_cell_length_a 4.4113
_cell_length_b 4.4113
_cell_length_c 4.4113
_cell_angle_alpha 145.53
_cell_angle_beta 131.46
_cell_angle_gamma 60.89
loop_
_space_group_symop_operation_xyz
'x,y,z'
loop_
_atom_site_label
_atom_site_type_symbol
_atom_site_fract_x
_atom_site_fract_y
_atom_site_fract_z
Co1 Co 0.0000 0.0000 0.0000
Re1 Re 0.3355 0.3355 0.0000
Ni1 Ni 0.6667 0.6667 0.0000
```



VASP calculation (PBE) on a relaxed Pm16Sm6Dy7 crystal.

Calculated values
DFT formation energy   212 meV per atom
Space-group type   No. 225
D(E_F)   42.80 states/eV/cell
Volume   1022.28 Å³/cell

Geometry as CIF:
```
data_Pm16Sm6Dy7
_space_group_name_H-M_alt 'P 1'
_space_group_IT_number 1
_cell_length_a 11.3074
_cell_length_b 11.3074
_cell_length_c 11.3074
_cell_angle_alpha 60.00
_cell_angle_beta 60.00
_cell_angle_gamma 60.00
loop_
_space_group_symop_operation_xyz
'x,y,z'
loop_
_atom_site_label
_atom_site_type_symbol
_atom_site_fract_x
_atom_site_fract_y
_atom_site_fract_z
Pm1 Pm 0.0480 0.6507 0.6507
Pm2 Pm 0.1255 0.1255 0.1255
Pm3 Pm 0.1255 0.1255 0.6235
Pm4 Pm 0.1255 0.6235 0.1255
Pm5 Pm 0.3493 0.3493 0.3493
Pm6 Pm 0.3493 0.3493 0.9520
Pm7 Pm 0.3493 0.9520 0.3493
Pm8 Pm 0.3765 0.8745 0.8745
Pm9 Pm 0.6235 0.1255 0.1255
Pm10 Pm 0.6507 0.0480 0.6507
Pm11 Pm 0.6507 0.6507 0.0480
Pm12 Pm 0.6507 0.6507 0.6507
Pm13 Pm 0.8745 0.3765 0.8745
Pm14 Pm 0.8745 0.8745 0.3765
Pm15 Pm 0.8745 0.8745 0.8745
Pm16 Pm 0.9520 0.3493 0.3493
Sm1 Sm 0.2705 0.2705 0.7295
Sm2 Sm 0.2705 0.7295 0.2705
Sm3 Sm 0.2705 0.7295 0.7295
Sm4 Sm 0.7295 0.2705 0.2705
Sm5 Sm 0.7295 0.2705 0.7295
Sm6 Sm 0.7295 0.7295 0.2705
Dy1 Dy 0.0000 0.0000 0.0000
Dy2 Dy 0.0000 0.0000 0.5000
Dy3 Dy 0.0000 0.5000 0.0000
Dy4 Dy 0.0000 0.5000 0.5000
Dy5 Dy 0.5000 0.0000 0.0000
Dy6 Dy 0.5000 0.0000 0.5000
Dy7 Dy 0.5000 0.5000 0.0000
```



VASP calculation (PBE) on a relaxed PrNd2Er4 crystal.

Calculated values
DFT formation energy   20 meV per atom
Space-group type   No. 1
D(E_F)   23.84 states/eV/cell
Offset from the most stable computed form   0 meV/atom
Volume   462.60 Å³/cell

Geometry as CIF:
```
data_PrNd2Er4
_space_group_name_H-M_alt 'P 1'
_space_group_IT_number 1
_cell_length_a 6.7953
_cell_length_b 8.5269
_cell_length_c 9.2821
_cell_angle_alpha 65.50
_cell_angle_beta 71.93
_cell_angle_gamma 77.24
loop_
_space_group_symop_operation_xyz
'x,y,z'
loop_
_atom_site_label
_atom_site_type_symbol
_atom_site_fract_x
_atom_site_fract_y
_atom_site_fract_z
Pr1 Pr 0.0000 0.0000 0.0000
Pr2 Pr 0.1937 0.7642 0.5459
Nd1 Nd 0.0460 0.1952 0.2619
Nd2 Nd 0.5686 0.2900 0.1416
Nd3 Nd 0.7612 0.0456 0.6896
Nd4 Nd 0.8557 0.4314 0.7105
Er1 Er 0.1448 0.5742 0.2834
Er2 Er 0.2901 0.1478 0.5698
Er3 Er 0.3337 0.3370 0.8308
Er4 Er 0.4259 0.7162 0.8570
Er5 Er 0.4753 0.9042 0.1169
Er6 Er 0.6187 0.4805 0.4014
Er7 Er 0.7118 0.8556 0.4273
Er8 Er 0.9038 0.6217 0.9764
```



VASP calculation (PBE) on a relaxed TbNdTcAg crystal.

Calculated values
DFT formation energy   -32 meV per atom
Space-group type   No. 216
D(E_F)   3.96 states/eV/cell
Volume   91.74 Å³/cell

Geometry as CIF:
```
data_TbNdTcAg
_space_group_name_H-M_alt 'P 1'
_space_group_IT_number 1
_cell_length_a 5.0625
_cell_length_b 5.0625
_cell_length_c 5.0625
_cell_angle_alpha 60.00
_cell_angle_beta 60.00
_cell_angle_gamma 60.00
loop_
_space_group_symop_operation_xyz
'x,y,z'
loop_
_atom_site_label
_atom_site_type_symbol
_atom_site_fract_x
_atom_site_fract_y
_atom_site_fract_z
Tb1 Tb 0.0000 0.0000 0.0000
Nd1 Nd 0.5000 0.5000 0.5000
Tc1 Tc 0.2500 0.2500 0.2500
Ag1 Ag 0.7500 0.7500 0.7500
```



VASP calculation (PBE) on a relaxed SrPr7In4 crystal.

Calculated values
DFT formation energy   -127 meV per atom
Space-group type   No. 12
D(E_F)   13.98 states/eV/cell
Volume   405.97 Å³/cell

Geometry as CIF:
```
data_SrPr7In4
_space_group_name_H-M_alt 'P 1'
_space_group_IT_number 1
_cell_length_a 7.8002
_cell_length_b 7.8002
_cell_length_c 11.5210
_cell_angle_alpha 122.03
_cell_angle_beta 122.03
_cell_angle_gamma 45.02
loop_
_space_group_symop_operation_xyz
'x,y,z'
loop_
_atom_site_label
_atom_site_type_symbol
_atom_site_fract_x
_atom_site_fract_y
_atom_site_fract_z
Sr1 Sr 0.0000 0.0000 0.0000
Pr1 Pr 0.0583 0.0583 0.3797
Pr2 Pr 0.2140 0.2140 0.8736
Pr3 Pr 0.3150 0.3150 0.3861
Pr4 Pr 0.5000 0.5000 0.0000
Pr5 Pr 0.6850 0.6850 0.6139
Pr6 Pr 0.7860 0.7860 0.1264
Pr7 Pr 0.9417 0.9417 0.6203
In1 In 0.3144 0.3144 0.6710
In2 In 0.4359 0.4359 0.2275
In3 In 0.5641 0.5641 0.7725
In4 In 0.6856 0.6856 0.3290
```



VASP calculation (PBE) on a relaxed Na2NpPaS4 crystal.

Calculated values
Uncorrected formation energy   -1.416 eV/atom
Space-group type   No. 10
D(E_F)   10.19 states/eV/cell
Volume   184.75 Å³/cell

Geometry as CIF:
```
data_Na2NpPaS4
_space_group_name_H-M_alt 'P 1'
_space_group_IT_number 1
_cell_length_a 6.8753
_cell_length_b 3.9682
_cell_length_c 7.1457
_cell_angle_alpha 90.00
_cell_angle_beta 108.62
_cell_angle_gamma 90.00
loop_
_space_group_symop_operation_xyz
'x,y,z'
loop_
_atom_site_label
_atom_site_type_symbol
_atom_site_fract_x
_atom_site_fract_y
_atom_site_fract_z
Na1 Na 0.0000 0.0000 0.0000
Na2 Na 0.5000 0.5000 0.0000
Np1 Np 0.0000 0.5000 0.5000
Pa1 Pa 0.5000 0.0000 0.5000
S1 S 0.2478 0.0000 0.7305
S2 S 0.2589 0.5000 0.2668
S3 S 0.7411 0.5000 0.7332
S4 S 0.7522 0.0000 0.2695
```



VASP calculation (PBE) on a relaxed Tb5Tm2In4 crystal.

Calculated values
DFT formation energy   -251 meV per atom
Space-group type   No. 10
D(E_F)   12.51 states/eV/cell
Offset from the most stable computed form   0 meV/atom
Volume   306.77 Å³/cell

Geometry as CIF:
```
data_Tb5Tm2In4
_space_group_name_H-M_alt 'P 1'
_space_group_IT_number 1
_cell_length_a 8.6117
_cell_length_b 3.4019
_cell_length_c 10.5277
_cell_angle_alpha 90.00
_cell_angle_beta 95.92
_cell_angle_gamma 90.00
loop_
_space_group_symop_operation_xyz
'x,y,z'
loop_
_atom_site_label
_atom_site_type_symbol
_atom_site_fract_x
_atom_site_fract_y
_atom_site_fract_z
Tb1 Tb 0.0000 0.0000 0.0000
Tb2 Tb 0.0357 0.0000 0.3331
Tb3 Tb 0.3385 0.0000 0.8565
Tb4 Tb 0.6615 0.0000 0.1435
Tb5 Tb 0.9643 0.0000 0.6669
Tm1 Tm 0.4162 0.0000 0.3608
Tm2 Tm 0.5838 0.0000 0.6392
In1 In 0.2560 0.5000 0.5751
In2 In 0.3009 0.5000 0.1197
In3 In 0.6991 0.5000 0.8803
In4 In 0.7440 0.5000 0.4249
```



VASP calculation (PBE) on a relaxed Fe2CuMo crystal.

Calculated values
DFT formation energy   164 meV per atom
Space-group type   No. 65
D(E_F)   3.79 states/eV/cell
Offset from the most stable computed form   14 meV/atom
Volume   52.02 Å³/cell

Geometry as CIF:
```
data_Fe2CuMo
_space_group_name_H-M_alt 'P 1'
_space_group_IT_number 1
_cell_length_a 2.5736
_cell_length_b 2.5736
_cell_length_c 8.1443
_cell_angle_alpha 90.00
_cell_angle_beta 90.00
_cell_angle_gamma 105.36
loop_
_space_group_symop_operation_xyz
'x,y,z'
loop_
_atom_site_label
_atom_site_type_symbol
_atom_site_fract_x
_atom_site_fract_y
_atom_site_fract_z
Fe1 Fe 0.0000 0.0000 0.2399
Fe2 Fe 0.0000 0.0000 0.7601
Cu1 Cu 0.5000 0.5000 0.0000
Mo1 Mo 0.5000 0.5000 0.5000
```



VASP calculation (PBE) on a relaxed PrMgAg crystal.

Calculated values
DFT formation energy   -41 meV per atom
Space-group type   No. 63
D(E_F)   4.50 states/eV/cell
Volume   151.41 Å³/cell

Geometry as CIF:
```
data_PrMgAg
_space_group_name_H-M_alt 'P 1'
_space_group_IT_number 1
_cell_length_a 12.7693
_cell_length_b 12.7693
_cell_length_c 3.6245
_cell_angle_alpha 90.00
_cell_angle_beta 90.00
_cell_angle_gamma 165.16
loop_
_space_group_symop_operation_xyz
'x,y,z'
loop_
_atom_site_label
_atom_site_type_symbol
_atom_site_fract_x
_atom_site_fract_y
_atom_site_fract_z
Pr1 Pr 0.0626 0.9374 0.7500
Pr2 Pr 0.9374 0.0626 0.2500
Mg1 Mg 0.3392 0.6608 0.7500
Mg2 Mg 0.6608 0.3392 0.2500
Ag1 Ag 0.2178 0.7822 0.7500
Ag2 Ag 0.7822 0.2178 0.2500
```



Copy entry 3 word for word.
VASP calculation (PBE) on a relaxed SrCdTe3 crystal.

Calculated values
Uncorrected formation energy   0.180 eV/atom
Space-group type   No. 221
D(E_F)   7.99 states/eV/cell
Offset from the most stable computed form   538 meV/atom
Volume   244.71 Å³/cell

Geometry as CIF:
```
data_SrCdTe3
_space_group_name_H-M_alt 'P 1'
_space_group_IT_number 1
_cell_length_a 6.2549
_cell_length_b 6.2549
_cell_length_c 6.2549
_cell_angle_alpha 90.00
_cell_angle_beta 90.00
_cell_angle_gamma 90.00
loop_
_space_group_symop_operation_xyz
'x,y,z'
loop_
_atom_site_label
_atom_site_type_symbol
_atom_site_fract_x
_atom_site_fract_y
_atom_site_fract_z
Sr1 Sr 0.0000 0.0000 0.0000
Cd1 Cd 0.5000 0.5000 0.5000
Te1 Te 0.0000 0.0000 0.5000
Te2 Te 0.0000 0.5000 0.0000
Te3 Te 0.5000 0.0000 0.0000
```



volume of number 12 (PrMgAg)?
151.41 Å³/cell



What is the volume in the fourth record?
36.05 Å³/cell